(1)
Entry from Alexandria via LeMat-Bulk: crystalline Pd3Au at its relaxed geometry (PBE).

ΔE to the lowest computed polymorph: 0.188 eV per formula unit
Formation enthalpy at 0 K: -0.0017 eV/atom
Total magnetization: 0.191 μB/atom
Uncorrected energy: -4.72 eV per atom
Space group: No. 25

Cell: 2.814 4.690 4.881 Å, 90.00 90.00 90.00°
Site moments in Bohr magnetons follow the coordinates.
Element x y z (fractional)
Au: 0.000 0.000 0.000  0.03
Pd: 0.000 0.500 0.337  0.27
Pd: 0.500 0.500 0.830  0.24
Pd: 0.500 0.000 0.499  0.24


(2)
Entry from Alexandria via LeMat-Bulk: crystalline PdAu4 at its relaxed geometry (PBE).

ΔE to the lowest computed polymorph: 0.000 eV per formula unit
Formation enthalpy at 0 K: -0.0367 eV/atom
Total magnetization: 0.000 μB/atom
Uncorrected energy: -3.70 eV per atom
Space group: No. 12

Cell: 4.892 5.046 7.485 Å, 107.66 90.00 90.00°
Element x y z (fractional)
Au: 0.001 0.599 0.199
Au: 0.000 0.202 0.399
Au: 0.500 0.298 0.101
Au: 0.499 0.099 0.699
Au: 0.501 0.901 0.301
Au: 0.500 0.702 0.899
Au: 0.999 0.401 0.801
Au: 0.000 0.798 0.601
Pd: 0.000 0.000 0.000
Pd: 0.500 0.500 0.500


(3)
Entry from Alexandria via LeMat-Bulk: crystalline PdAu2 at its relaxed geometry (PBE).

ΔE to the lowest computed polymorph: 0.000 eV per formula unit
Formation enthalpy at 0 K: -0.0794 eV/atom
Total magnetization: 0.000 μB/atom
Uncorrected energy: -4.00 eV per atom
Space group: No. 12

Cell: 4.127 4.953 5.757 Å, 105.11 90.00 114.62°
Element x y z (fractional)
Au: 0.500 0.000 0.000
Au: 0.500 0.000 0.500
Au: 0.167 0.334 0.328
Au: 0.833 0.666 0.672
Pd: 0.167 0.334 0.833
Pd: 0.833 0.666 0.167